<1>
Here is a relaxed structure of PmH2Rh from the Alexandria database. Energies are from PBE-GGA.

calculated volume: 210.1 Å³/cell
space-group type: P2_1/c
DOS(E_F): 0.26 states/eV/atom
crystal system: monoclinic

Unit cell a=5.7585 b=5.8333 c=7.6247 alpha=90.00 beta=124.87 gamma=90.00
With the nearest neighbours (Å) after each atom.
Fractional coordinates of all 16 atoms:
Pm1 0.2379 0.2058 0.4214  6 H 2.32-2.53
Pm2 0.2379 0.2942 0.9214  6 H 2.32-2.53
Pm3 0.7621 0.7058 0.0786  6 H 2.32-2.53
Pm4 0.7621 0.7942 0.5786  6 H 2.32-2.53
H1 0.0263 0.6434 0.9219  1 Rh 1.70
H2 0.0263 0.8566 0.4219  1 Rh 1.70
H3 0.4944 0.0647 0.2629  2 Rh 1.77-1.98
H4 0.4944 0.4353 0.7629  2 Rh 1.77-1.98
H5 0.5056 0.5647 0.2371  2 Rh 1.77-1.98
H6 0.5056 0.9353 0.7371  2 Rh 1.77-1.98
H7 0.9737 0.1434 0.5781  1 Rh 1.70
H8 0.9737 0.3566 0.0781  1 Rh 1.70
Rh1 0.2677 0.6599 0.5964  2 H 1.70-1.77
Rh2 0.2677 0.8401 0.0964  2 H 1.70-1.77
Rh3 0.7323 0.1599 0.9036  2 H 1.70-1.77
Rh4 0.7323 0.3401 0.4036  2 H 1.70-1.77


<2>
Here is a relaxed structure of PmH2Rh from the Alexandria database. Energies are from PBE-GGA.

calculated volume: 56.0 Å³/cell
space-group type: R-3m
DOS(E_F): 0.17 states/eV/atom
crystal system: trigonal

Unit cell a=4.5365 b=4.5365 c=4.5365 alpha=53.49 beta=53.49 gamma=53.49
With the nearest neighbours (Å) after each atom.
Fractional coordinates of all 4 atoms:
Pm1 0.0000 0.0000 0.0000  6 H 2.37
H1 0.3557 0.3557 0.3557  1 Rh 1.68
H2 0.6443 0.6443 0.6443  1 Rh 1.68
Rh1 0.5000 0.5000 0.5000  2 H 1.68


Looking at the structures above, which would you pick as the most stable? I would pick <1>.